## 1
DFT (PBE) results for a relaxed Tc2TeOs crystal.

Cell lengths 3.934, 3.934, 4.184 Å; angles 90.00, 90.00, 90.00 degrees
Positions (direct):
Tc 0.000 0.500 0.000
Tc 0.500 0.000 0.000
Te 0.000 0.000 0.500
Os 0.500 0.500 0.500

Results
space group = P4/mmm
Fermi-level density of states = 5.210 states/eV/cell


## 2
DFT (PBE) results for a relaxed Tc2TeOs crystal.

Cell lengths 4.132, 5.588, 5.588 Å; angles 30.17, 90.00, 90.00 degrees
Positions (direct):
Tc 0.000 0.000 0.000
Tc 0.500 0.366 0.366
Te 0.500 0.607 0.607
Os 0.000 0.759 0.759

Results
space group = Amm2
Fermi-level density of states = 4.339 states/eV/cell


Quick look at relative energies in kJ/mol of atoms: 1 22.5; 2 0.0.